VASP calculation (PBE-GGA) on a relaxed structure of Sn2TePt2.

The structure belongs to space group P4/mbm (No. 127); the cell edges are 7.693, 7.693 and 3.631 Å and the angles 90.00°, 90.00° and 90.00°. The distinct sites, in fractional coordinates, are Sn at (0.158, 0.342, 0.000), Te at (0.000, 0.000, 0.500) and Pt at (0.135, 0.635, 0.500).

The calculation puts the raw formation energy at -234 meV/atom. For the raw total energy, the calculation gives -4.880 eV/atom. The crystal system is tetragonal. The relative energy among the computed polymorphs is 0 meV per atom.